Below is a geometry-optimized BaCeI4 structure, with properties calculated at the PBE level.

## Properties
The space group is C2/c (15). Its magnetization is 2.813 μB/cell. The uncorrected formation energy comes out at -1511 meV/atom. The density of states at the Fermi level comes out at 14.403 states/eV/cell. The total energy is -46.2 eV for the cell shown.

a b c (Å): 9.2636 9.2636 7.5330
angles (deg): 107.80 107.80 111.10
Atoms (fractional coordinates):
Ba 0.1350 0.8650 0.7500
Ba 0.8650 0.1350 0.2500
Ce 0.4999 0.5001 0.2500
Ce 0.5001 0.4999 0.7500
I 0.1428 0.2671 0.7792
I 0.2126 0.5581 0.4164
I 0.2671 0.1428 0.2792
I 0.4419 0.7874 0.0836
I 0.5581 0.2126 0.9164
I 0.7329 0.8572 0.7208
I 0.7874 0.4419 0.5836
I 0.8572 0.7329 0.2208

***

Below is a geometry-optimized K2BaCeI8 structure, with properties calculated at the PBE level.

## Properties
The space group is P2/m (10). Its magnetization is 0.118 μB/cell. The uncorrected formation energy comes out at -1379 meV/atom. The density of states at the Fermi level comes out at 5.253 states/eV/cell. The total energy is -39.0 eV for the cell shown.

a b c (Å): 7.8896 10.1562 8.0631
angles (deg): 90.00 92.71 90.00
Atoms (fractional coordinates):
K 0.0000 0.2504 0.0000
K 0.0000 0.7496 0.0000
Ba 0.5000 0.0000 0.5000
Ce 0.5000 0.5000 0.5000
I 0.2507 0.0000 0.1525
I 0.2741 0.2841 0.6346
I 0.2741 0.7159 0.6346
I 0.2859 0.5000 0.1790
I 0.7141 0.5000 0.8210
I 0.7259 0.2841 0.3654
I 0.7259 0.7159 0.3654
I 0.7493 0.0000 0.8475

***

Below is a geometry-optimized BaLiCeI6 structure, with properties calculated at the PBE level.

## Properties
The space group is P-31c (163). Its magnetization is 2.000 μB/cell. The uncorrected formation energy comes out at -1430 meV/atom. The density of states at the Fermi level comes out at 16.282 states/eV/cell. The total energy is -63.9 eV for the cell shown.

a b c (Å): 7.9376 7.9376 15.1382
angles (deg): 90.00 90.00 120.00
Atoms (fractional coordinates):
Ba 0.0000 0.0000 0.0000
Ba 0.0000 0.0000 0.5000
Li 0.3333 0.6667 0.2500
Li 0.6667 0.3333 0.7500
Ce 0.3333 0.6667 0.7500
Ce 0.6667 0.3333 0.2500
I 0.0105 0.3652 0.1332
I 0.0105 0.6454 0.3668
I 0.3546 0.3652 0.3668
I 0.3546 0.9895 0.1332
I 0.3652 0.0105 0.6332
I 0.3652 0.3546 0.8668
I 0.6348 0.6454 0.1332
I 0.6348 0.9895 0.3668
I 0.6454 0.0105 0.8668
I 0.6454 0.6348 0.6332
I 0.9895 0.3546 0.6332
I 0.9895 0.6348 0.8668

***

Below is a geometry-optimized Ba2CeI2N2 structure, with properties calculated at the PBE level.

## Properties
The space group is I4/mmm (139). Its magnetization is 0.000 μB/cell. The uncorrected formation energy comes out at -1392 meV/atom. The total energy is -78.6 eV for the cell shown.

a b c (Å): 4.6480 4.6480 19.6688
angles (deg): 90.00 90.00 90.00
Atoms (fractional coordinates):
Ba 0.0000 0.0000 0.0925
Ba 0.0000 0.0000 0.9075
Ba 0.5000 0.5000 0.4075
Ba 0.5000 0.5000 0.5925
Ce 0.0000 0.0000 0.5000
Ce 0.5000 0.5000 0.0000
I 0.0000 0.0000 0.3285
I 0.0000 0.0000 0.6715
I 0.5000 0.5000 0.1715
I 0.5000 0.5000 0.8285
N 0.0000 0.5000 0.0000
N 0.0000 0.5000 0.5000
N 0.5000 0.0000 0.0000
N 0.5000 0.0000 0.5000

***

Below is a geometry-optimized BaCe2IO4 structure, with properties calculated at the PBE level.

## Properties
The space group is P4/mmm (123). Its magnetization is 1.029 μB/cell. The uncorrected formation energy comes out at -2874 meV/atom. The density of states at the Fermi level comes out at 8.343 states/eV/cell. The total energy is -58.2 eV for the cell shown.

a b c (Å): 4.1313 4.1313 10.1466
angles (deg): 90.00 90.00 90.00
Atoms (fractional coordinates):
Ba 0.0000 0.0000 0.0000
Ce 0.5000 0.5000 0.2610
Ce 0.5000 0.5000 0.7390
I 0.0000 0.0000 0.5000
O 0.0000 0.5000 0.1795
O 0.0000 0.5000 0.8205
O 0.5000 0.0000 0.1795
O 0.5000 0.0000 0.8205

***

Below is a geometry-optimized BaCe2IO8 structure, with properties calculated at the PBE level.

## Properties
The space group is P2/m (10). Its magnetization is 0.001 μB/cell. The uncorrected formation energy comes out at -2154 meV/atom. The density of states at the Fermi level comes out at 6.043 states/eV/cell. The total energy is -80.9 eV for the cell shown.

a b c (Å): 5.2060 7.3100 5.2085
angles (deg): 90.00 92.00 90.00
Atoms (fractional coordinates):
Ba 0.0000 0.0000 0.0000
Ce 0.5000 0.2509 0.5000
Ce 0.5000 0.7491 0.5000
I 0.0000 0.5000 0.0000
O 0.1924 0.3068 0.1969
O 0.1924 0.6932 0.1969
O 0.2759 0.5000 0.7288
O 0.3422 0.0000 0.6688
O 0.6578 0.0000 0.3312
O 0.7241 0.5000 0.2712
O 0.8076 0.3068 0.8031
O 0.8076 0.6932 0.8031

***

Below is a geometry-optimized RbBa2CeI8 structure, with properties calculated at the PBE level.

## Properties
The space group is P-1 (2). Its magnetization is 1.000 μB/cell. The uncorrected formation energy comes out at -1559 meV/atom. The density of states at the Fermi level comes out at 8.268 states/eV/cell. The total energy is -41.9 eV for the cell shown.

a b c (Å): 7.7168 8.0436 10.5587
angles (deg): 90.01 90.04 90.18
Atoms (fractional coordinates):
Rb 0.0000 0.0000 0.0000
Ba 0.5002 0.5000 0.2503
Ba 0.4998 0.5000 0.7497
Ce 0.0000 0.0000 0.5000
I 0.2368 0.8510 0.2868
I 0.2373 0.8516 0.7134
I 0.2414 0.3281 0.4998
I 0.2567 0.3703 0.0000
I 0.7433 0.6297 0.0000
I 0.7586 0.6719 0.5002
I 0.7627 0.1484 0.2866
I 0.7632 0.1490 0.7132

***

Below is a geometry-optimized Rb2BaCeI8 structure, with properties calculated at the PBE level.

## Properties
The space group is P-1 (2). Its magnetization is 0.118 μB/cell. The uncorrected formation energy comes out at -1386 meV/atom. The density of states at the Fermi level comes out at 4.723 states/eV/cell. The total energy is -38.8 eV for the cell shown.

a b c (Å): 7.9659 8.3461 10.2562
angles (deg): 90.02 90.00 93.65
Atoms (fractional coordinates):
Rb 0.0004 0.0008 0.2530
Rb 0.9996 0.9992 0.7470
Ba 0.5000 0.5000 0.0000
Ce 0.5000 0.5000 0.5000
I 0.1446 0.2629 0.9995
I 0.1701 0.3022 0.5007
I 0.3710 0.7146 0.2846
I 0.3721 0.7154 0.7154
I 0.6279 0.2846 0.2846
I 0.6290 0.2854 0.7154
I 0.8299 0.6978 0.4993
I 0.8554 0.7371 0.0005

***

- What is the magnetization in the first record?
  2.813 μB/cell

***

- Look up the magnetization of the eighth one.
  0.118 μB/cell

***

- Which of these has the highest magnetization?
  BaCeI4

***

- Which value of magnetization does entry 7 give?
  1.000 μB/cell